# 1
VASP calculation (PBE) on a relaxed structure of SrPrF4.

a = 6.7731 Å, b = 6.7731 Å, c = 6.7731 Å
α = 111.18°, β = 111.18°, γ = 106.11°
Last column: nearest neighbours and their distance in Å.
Atoms (fractional coordinates):
Sr 0.0000 0.0000 0.0000  6 F 2.41-2.50
Sr 0.7500 0.2500 0.5000  6 F 2.41-2.50
Pr 0.2357 0.7357 0.5000  6 F 2.40-2.57
Pr 0.4857 0.4857 0.0000  6 F 2.40-2.57
F 0.0570 0.2417 0.8153  2 Sr 2.41-2.42, 1 Pr 2.44
F 0.4264 0.2417 0.1847  2 Sr 2.41-2.42, 1 Pr 2.44
F 0.4983 0.1849 0.6866  2 Pr 2.40-2.57, 1 Sr 2.50
F 0.4983 0.8117 0.3134  2 Pr 2.40-2.57, 1 Sr 2.50
F 0.5617 0.7483 0.8134  2 Pr 2.40-2.57, 1 Sr 2.50
F 0.9349 0.7483 0.1866  2 Pr 2.40-2.57, 1 Sr 2.50
F 0.9917 0.3070 0.3153  2 Sr 2.41-2.42, 1 Pr 2.44
F 0.9917 0.6764 0.6847  2 Sr 2.41-2.42, 1 Pr 2.44

E_tot (eV per atom): -5.88
Energy relative to the elements, uncorrected (eV per atom): -3.55
DOS(E_F) (states/eV/atom): 0.43

=====

# 2
VASP calculation (PBE) on a relaxed structure of NaAcLaHo.

a = 8.3892 Å, b = 8.3892 Å, c = 8.3892 Å
α = 90.00°, β = 90.00°, γ = 90.00°
Last column: nearest neighbours and their distance in Å.
Atoms (fractional coordinates):
Na 0.0000 0.0000 0.0000  4 Ac 3.63, 4 La 3.63
Na 0.0000 0.5000 0.5000  4 Ac 3.63, 4 La 3.63
Na 0.5000 0.0000 0.5000  4 Ac 3.63, 4 La 3.63
Na 0.5000 0.5000 0.0000  4 Ac 3.63, 4 La 3.63
Ac 0.2500 0.2500 0.2500  4 Ho 3.63, 4 Na 3.63
Ac 0.2500 0.7500 0.7500  4 Ho 3.63, 4 Na 3.63
Ac 0.7500 0.2500 0.7500  4 Ho 3.63, 4 Na 3.63
Ac 0.7500 0.7500 0.2500  4 Ho 3.63, 4 Na 3.63
La 0.2500 0.2500 0.7500  4 Na 3.63, 4 Ho 3.63
La 0.2500 0.7500 0.2500  4 Na 3.63, 4 Ho 3.63
La 0.7500 0.2500 0.2500  4 Na 3.63, 4 Ho 3.63
La 0.7500 0.7500 0.7500  4 Na 3.63, 4 Ho 3.63
Ho 0.0000 0.0000 0.5000  4 La 3.63, 4 Ac 3.63
Ho 0.0000 0.5000 0.0000  4 La 3.63, 4 Ac 3.63
Ho 0.5000 0.0000 0.0000  4 La 3.63, 4 Ac 3.63
Ho 0.5000 0.5000 0.5000  4 La 3.63, 4 Ac 3.63

E_tot (eV per atom): -3.51
Energy of formation (eV per atom): 0.2253
DOS(E_F) (states/eV/atom): 1.40

=====

Which formula does entry 1 have? SrPrF4

=====

Which of these has the highest E_tot? NaAcLaHo

=====

What is the E_tot in the second record? -3.51 eV per atom